12
Lattice="-5.082 -1.170 1.945 1.877 -3.144 3.012 0.689 3.431 3.862" Properties=species:S:1:pos:R:3 comment="CuWO4, optimized geometry, DFT PBE with a Hubbard U" de_polymorph_mev_per_atom=14 spacegroup="P2/c, No. 13" dft_energy_ev_per_atom=-6.63 total_magnetization_mub_per_cell=1.969 pbc="T T T"
Cu -1.891 0.231 5.683
Cu -0.626 -1.114 3.136
W -0.390 2.364 3.243
W -4.003 -0.103 2.564
O -0.905 1.736 4.876
O -0.140 -0.644 5.443
O -1.612 -2.619 3.943
O -2.377 -0.239 3.377
O -3.483 1.420 5.937
O -2.659 -1.501 6.332
O 0.966 -2.303 2.882
O 0.142 0.618 2.487